Entry 1:
The following is a DFT calculation (PBE-GGA) of a relaxed K3Np3TlS8 crystal.

Properties
* uncorrected energy: -6.35 eV/atom
* ρ: 4.976 Mg/m³
* energy relative to the elements, uncorrected: -1.18 eV per atom

Cell lengths 14.3723, 8.2617, 8.6732 Å; angles 90.00, 123.34, 90.00 degrees
Last column: nearest neighbours and their distance in Å.
Space group C2/m (No. 12)
Symmetry-distinct sites (fractional):
K: 0.0000 0.0000 0.0000  6 S 3.22-3.34
K: 0.2500 0.2500 0.0000  6 S 3.22-3.34
Np: 0.0000 0.5000 0.5000  6 S 2.68-2.82
Np: 0.2500 0.2500 0.5000  6 S 2.68-2.80
Tl: 0.0000 0.0000 0.5000  6 S 2.99-3.01
S: 0.0251 0.2759 0.3019  2 Np 2.68-2.71, 1 Tl 2.99
S: 0.2349 0.5000 0.7026  3 Np 2.80-2.82
S: 0.2501 0.0000 0.6974  2 Np 2.68

---

Entry 2:
The following is a DFT calculation (PBE-GGA) of a relaxed K2NpTl3S6 crystal.

Properties
* uncorrected energy: -4.73 eV/atom
* ρ: 5.202 Mg/m³
* energy relative to the elements, uncorrected: -0.82 eV per atom

Cell lengths 7.6585, 13.3136, 7.4461 Å; angles 90.00, 109.54, 90.00 degrees
Last column: nearest neighbours and their distance in Å.
Space group C2/m (No. 12)
Symmetry-distinct sites (fractional):
K: 0.0000 0.1672 0.0000  6 S 3.18-3.23
Np: 0.0000 0.5000 0.0000  6 S 2.50-2.57
Tl: 0.0000 0.0000 0.5000  4 S 3.11
Tl: 0.0000 0.3438 0.5000  4 S 2.98-3.09
S: 0.1971 0.5000 0.7809  1 Np 2.57
S: 0.2032 0.3688 0.2070  1 Np 2.50

---

Entry 3:
The following is a DFT calculation (PBE-GGA) of a relaxed K3Tm3NpS8 crystal.

Properties
* uncorrected energy: -5.94 eV/atom
* ρ: 4.520 Mg/m³
* energy relative to the elements, uncorrected: -1.77 eV per atom

Cell lengths 7.9655, 7.9655, 22.4187 Å; angles 90.00, 90.00, 120.00 degrees
Last column: nearest neighbours and their distance in Å.
Space group R-3m (No. 166, hexagonal axes)
Symmetry-distinct sites (fractional):
K: 0.0000 0.5000 0.0000  6 S 3.22-3.24
Tm: 0.0000 0.5000 0.5000  6 S 2.73
Np: 0.0000 0.0000 0.5000  6 S 2.71
S: 0.0000 0.0000 0.2325  3 Tm 2.73
S: 0.0019 0.5009 0.2315  1 Np 2.71, 2 Tm 2.73

---

Entry 4:
The following is a DFT calculation (PBE-GGA) of a relaxed K4Tm3NpS8 crystal.

Properties
* uncorrected energy: -5.74 eV/atom
* ρ: 4.639 Mg/m³
* energy relative to the elements, uncorrected: -1.75 eV per atom

Cell lengths 8.0617, 8.0617, 22.0707 Å; angles 90.00, 90.00, 120.00 degrees
Last column: nearest neighbours and their distance in Å.
Space group R-3m (No. 166, hexagonal axes)
Symmetry-distinct sites (fractional):
K: 0.0000 0.0000 0.0000  6 S 3.17
K: 0.0000 0.5000 0.0000  6 S 3.21-3.22
Tm: 0.0000 0.5000 0.5000  6 S 2.74-2.75
Np: 0.0000 0.0000 0.5000  6 S 2.79
S: 0.0000 0.0000 0.2331  3 Tm 2.75
S: 0.0062 0.5031 0.7666  2 Tm 2.74, 1 Np 2.79

---

Entry 5:
The following is a DFT calculation (PBE-GGA) of a relaxed K4TmNp3S8 crystal.

Properties
* uncorrected energy: -6.55 eV/atom
* ρ: 5.078 Mg/m³
* energy relative to the elements, uncorrected: -1.51 eV per atom

Cell lengths 8.1479, 8.1479, 22.0576 Å; angles 90.00, 90.00, 120.00 degrees
Last column: nearest neighbours and their distance in Å.
Space group R-3m (No. 166, hexagonal axes)
Symmetry-distinct sites (fractional):
K: 0.0000 0.0000 0.0000  6 S 3.25
K: 0.0000 0.5000 0.0000  6 S 3.21-3.23
Tm: 0.0000 0.0000 0.5000  6 S 2.75
Np: 0.0000 0.5000 0.5000  6 S 2.77-2.79
S: 0.0000 0.0000 0.2330  3 Np 2.77
S: 0.0050 0.5025 0.2337  1 Tm 2.75, 2 Np 2.79

---

Entry 6:
The following is a DFT calculation (PBE-GGA) of a relaxed K2NpUS5 crystal.

Properties
* uncorrected energy: -6.31 eV/atom
* ρ: 4.466 Mg/m³
* energy relative to the elements, uncorrected: -1.08 eV per atom

Cell lengths 4.9982, 4.9982, 10.6200 Å; angles 90.00, 90.00, 90.00 degrees
Last column: nearest neighbours and their distance in Å.
Space group P4/mmm (No. 123)
Symmetry-distinct sites (fractional):
K: 0.0000 0.0000 0.2140  5 S 3.04-3.38
Np: 0.5000 0.5000 0.5000  2 S 2.65
U: 0.5000 0.5000 0.0000  6 S 2.50-2.66
S: 0.0000 0.0000 0.5000  2 K 3.04
S: 0.0000 0.5000 0.0000  2 U 2.50
S: 0.5000 0.5000 0.2504  1 Np 2.65, 1 U 2.66

---

Entry 7:
The following is a DFT calculation (PBE-GGA) of a relaxed KNp2US8 crystal.

Properties
* uncorrected energy: -6.98 eV/atom
* ρ: 5.124 Mg/m³
* energy relative to the elements, uncorrected: -1.04 eV per atom

Cell lengths 6.1583, 8.2546, 6.4238 Å; angles 90.00, 90.83, 90.00 degrees
Last column: nearest neighbours and their distance in Å.
Space group P2/m (No. 10)
Symmetry-distinct sites (fractional):
K: 0.0000 0.0000 0.0000  6 S 3.02-3.05
Np: 0.5000 0.2512 0.5000  6 S 2.59-2.72
U: 0.0000 0.5000 0.0000  6 S 2.52-2.72
S: 0.2447 0.2910 0.1672  1 U 2.52, 1 Np 2.66
S: 0.2746 0.5000 0.6725  1 U 2.72, 2 Np 2.72
S: 0.2764 0.0000 0.6094  2 Np 2.59

---

Entry 8:
The following is a DFT calculation (PBE-GGA) of a relaxed K3Np3US8 crystal.

Properties
* uncorrected energy: -7.18 eV/atom
* ρ: 5.181 Mg/m³
* energy relative to the elements, uncorrected: -1.42 eV per atom

Cell lengths 8.0985, 8.0985, 22.3919 Å; angles 90.00, 90.00, 120.00 degrees
Last column: nearest neighbours and their distance in Å.
Space group R-3m (No. 166, hexagonal axes)
Symmetry-distinct sites (fractional):
K: 0.0000 0.5000 0.0000  6 S 3.24-3.26
Np: 0.0000 0.5000 0.5000  6 S 2.76-2.77
U: 0.0000 0.0000 0.5000  6 S 2.72
S: 0.0000 0.0000 0.2332  3 Np 2.77
S: 0.0049 0.5024 0.2313  1 U 2.72, 2 Np 2.76

---

Entry 9:
The following is a DFT calculation (PBE-GGA) of a relaxed KNpU2S8 crystal.

Properties
* uncorrected energy: -6.90 eV/atom
* ρ: 5.112 Mg/m³
* energy relative to the elements, uncorrected: -1.10 eV per atom

Cell lengths 6.2088, 8.2439, 6.4047 Å; angles 90.00, 91.77, 90.00 degrees
Last column: nearest neighbours and their distance in Å.
Space group P2/m (No. 10)
Symmetry-distinct sites (fractional):
K: 0.0000 0.0000 0.0000  6 S 3.02-3.07
Np: 0.0000 0.5000 0.0000  6 S 2.64-2.81
U: 0.5000 0.2522 0.5000  6 S 2.54-2.69
S: 0.2595 0.2823 0.1741  1 U 2.54, 1 Np 2.64
S: 0.2796 0.5000 0.6629  2 U 2.69, 1 Np 2.81
S: 0.2843 0.0000 0.6170  2 U 2.60

---

Entry 10:
The following is a DFT calculation (PBE-GGA) of a relaxed K4Np3US8 crystal.

Properties
* uncorrected energy: -6.87 eV/atom
* ρ: 5.335 Mg/m³
* energy relative to the elements, uncorrected: -1.40 eV per atom

Cell lengths 8.1476, 8.1476, 22.1226 Å; angles 90.00, 90.00, 120.00 degrees
Last column: nearest neighbours and their distance in Å.
Space group R-3m (No. 166, hexagonal axes)
Symmetry-distinct sites (fractional):
K: 0.0000 0.0000 0.0000  6 S 3.24
K: 0.0000 0.5000 0.0000  6 S 3.22
Np: 0.0000 0.5000 0.5000  6 S 2.78-2.79
U: 0.0000 0.0000 0.5000  6 S 2.77
S: 0.0000 0.0000 0.2336  3 Np 2.78
S: 0.0027 0.5013 0.2338  1 U 2.77, 2 Np 2.79

---

Entry 11:
The following is a DFT calculation (PBE-GGA) of a relaxed K3NpU2S6 crystal.

Properties
* uncorrected energy: -6.69 eV/atom
* ρ: 5.374 Mg/m³
* energy relative to the elements, uncorrected: -1.40 eV per atom

Cell lengths 7.0116, 12.1447, 7.7817 Å; angles 90.00, 107.48, 90.00 degrees
Last column: nearest neighbours and their distance in Å.
Space group C2/m (No. 12)
Symmetry-distinct sites (fractional):
K: 0.0000 0.0000 0.0000  6 S 3.20-3.22
K: 0.0000 0.3339 0.0000  6 S 3.20-3.22
Np: 0.0000 0.5000 0.5000  6 S 2.80
U: 0.0000 0.1667 0.5000  6 S 2.77
S: 0.2317 0.0000 0.7034  2 U 2.77, 1 Np 2.80
S: 0.2358 0.3320 0.7033  2 U 2.77, 1 Np 2.80

---

Entry 12:
The following is a DFT calculation (PBE-GGA) of a relaxed K3NpU3S8 crystal.

Properties
* uncorrected energy: -6.96 eV/atom
* ρ: 5.230 Mg/m³
* energy relative to the elements, uncorrected: -1.42 eV per atom

Cell lengths 8.0473, 8.0473, 22.5013 Å; angles 90.00, 90.00, 120.00 degrees
Last column: nearest neighbours and their distance in Å.
Space group R-3m (No. 166, hexagonal axes)
Symmetry-distinct sites (fractional):
K: 0.0000 0.5000 0.0000  6 S 3.22-3.26
Np: 0.0000 0.0000 0.5000  6 S 2.76
U: 0.0000 0.5000 0.5000  6 S 2.75-2.78
S: 0.0000 0.0000 0.2344  3 U 2.78
S: 0.0018 0.5009 0.7679  2 U 2.75, 1 Np 2.76

---

Entry 13:
The following is a DFT calculation (PBE-GGA) of a relaxed K2Np2VS6 crystal.

Properties
* uncorrected energy: -6.90 eV/atom
* ρ: 4.566 Mg/m³
* energy relative to the elements, uncorrected: -1.27 eV per atom

Cell lengths 6.6922, 11.4564, 7.8747 Å; angles 90.00, 106.57, 90.00 degrees
Last column: nearest neighbours and their distance in Å.
Space group C2/m (No. 12)
Symmetry-distinct sites (fractional):
K: 0.0000 0.1694 0.0000  6 S 3.19-3.28
Np: 0.0000 0.3338 0.5000  6 S 2.70-2.71
V: 0.0000 0.0000 0.5000  6 S 2.51-2.53
S: 0.2217 0.1570 0.6905  1 V 2.53, 2 Np 2.70-2.71
S: 0.2454 0.0000 0.3104  1 V 2.51, 2 Np 2.70

---

Entry 14:
The following is a DFT calculation (PBE-GGA) of a relaxed K2NpVS4 crystal.

Properties
* uncorrected energy: -6.11 eV/atom
* ρ: 3.404 Mg/m³
* energy relative to the elements, uncorrected: -1.01 eV per atom

Cell lengths 7.1791, 7.1791, 9.3603 Å; angles 90.00, 90.00, 90.00 degrees
Last column: nearest neighbours and their distance in Å.
Space group I-4 (No. 82)
Symmetry-distinct sites (fractional):
K: 0.0000 0.0000 0.0000  4 S 3.13
K: 0.0000 0.5000 0.2500  4 S 3.26
Np: 0.0000 0.0000 0.5000  4 S 2.63
V: 0.0000 0.5000 0.7500  4 S 2.31
S: 0.1706 0.7265 0.6339  1 V 2.31

---

Entry 15:
The following is a DFT calculation (PBE-GGA) of a relaxed K4Np3VS8 crystal.

Properties
* uncorrected energy: -6.63 eV/atom
* ρ: 4.842 Mg/m³
* energy relative to the elements, uncorrected: -1.30 eV per atom

Cell lengths 7.9434, 7.9434, 22.1212 Å; angles 90.00, 90.00, 120.00 degrees
Last column: nearest neighbours and their distance in Å.
Space group R-3m (No. 166, hexagonal axes)
Symmetry-distinct sites (fractional):
K: 0.0000 0.0000 0.0000  6 S 3.28
K: 0.0000 0.5000 0.0000  6 S 3.16-3.17
Np: 0.0000 0.5000 0.5000  6 S 2.75
V: 0.0000 0.0000 0.5000  6 S 2.62
S: 0.0000 0.0000 0.2350  3 Np 2.75
S: 0.0147 0.5074 0.2319  1 V 2.62, 2 Np 2.75

---

Entry 16:
The following is a DFT calculation (PBE-GGA) of a relaxed K3Np3WS8 crystal.

Properties
* uncorrected energy: -7.02 eV/atom
* ρ: 5.254 Mg/m³
* energy relative to the elements, uncorrected: -1.15 eV per atom

Cell lengths 13.5403, 7.8031, 8.8366 Å; angles 90.00, 120.80, 90.00 degrees
Last column: nearest neighbours and their distance in Å.
Space group C2/m (No. 12)
Symmetry-distinct sites (fractional):
K: 0.0000 0.0000 0.0000  6 S 3.16-3.20
K: 0.2500 0.2500 0.0000  6 S 3.17-3.21
Np: 0.0000 0.5000 0.5000  6 S 2.75
Np: 0.2500 0.2500 0.5000  6 S 2.75
W: 0.0000 0.0000 0.5000  6 S 2.53
S: 0.0137 0.2303 0.3105  1 W 2.53, 2 Np 2.75
S: 0.2173 0.0000 0.6893  1 W 2.53, 2 Np 2.75
S: 0.2362 0.5000 0.7070  3 Np 2.75

---

Entry 17:
The following is a DFT calculation (PBE-GGA) of a relaxed KNpW2S8 crystal.

Properties
* uncorrected energy: -6.79 eV/atom
* ρ: 4.372 Mg/m³
* energy relative to the elements, uncorrected: -0.71 eV per atom

Cell lengths 6.4609, 6.4609, 28.3757 Å; angles 90.00, 90.00, 120.00 degrees
Last column: nearest neighbours and their distance in Å.
Space group R-3 (No. 148, hexagonal axes)
Symmetry-distinct sites (fractional):
K: 0.0000 0.0000 0.0000  12 S 3.72-3.74
Np: 0.0000 0.0000 0.5000  6 S 2.77
W: 0.0000 0.0000 0.2492  4 S 2.17-2.23
S: 0.0000 0.0000 0.3256  1 W 2.17
S: 0.0007 0.6599 0.4409  1 W 2.23

---

Entry 18:
The following is a DFT calculation (PBE-GGA) of a relaxed K3YNp3S8 crystal.

Properties
* uncorrected energy: -6.94 eV/atom
* ρ: 4.573 Mg/m³
* energy relative to the elements, uncorrected: -1.50 eV per atom

Cell lengths 14.0988, 8.1163, 8.7976 Å; angles 90.00, 122.14, 90.00 degrees
Last column: nearest neighbours and their distance in Å.
Space group C2/m (No. 12)
Symmetry-distinct sites (fractional):
K: 0.0000 0.0000 0.0000  6 S 3.24-3.26
K: 0.2500 0.2500 0.0000  6 S 3.24-3.27
Y: 0.0000 0.0000 0.5000  6 S 2.76-2.77
Np: 0.0000 0.5000 0.5000  6 S 2.76-2.79
Np: 0.2500 0.2500 0.5000  6 S 2.75-2.78
S: 0.0173 0.2502 0.3036  2 Np 2.76-2.78, 1 Y 2.76
S: 0.2318 0.0000 0.6939  2 Np 2.75, 1 Y 2.77
S: 0.2337 0.5000 0.7004  3 Np 2.78-2.79

---

Entry 19:
The following is a DFT calculation (PBE-GGA) of a relaxed K3YNp2S6 crystal.

Properties
* uncorrected energy: -6.58 eV/atom
* ρ: 4.545 Mg/m³
* energy relative to the elements, uncorrected: -1.55 eV per atom

Cell lengths 7.0691, 12.2441, 7.7343 Å; angles 90.00, 107.74, 90.00 degrees
Last column: nearest neighbours and their distance in Å.
Space group C2/m (No. 12)
Symmetry-distinct sites (fractional):
K: 0.0000 0.0000 0.0000  6 S 3.22
K: 0.0000 0.3339 0.0000  6 S 3.22-3.23
Y: 0.0000 0.5000 0.5000  6 S 2.79
Np: 0.0000 0.1667 0.5000  6 S 2.79
S: 0.2339 0.0000 0.7016  1 Y 2.79, 2 Np 2.79
S: 0.2339 0.3334 0.7018  2 Np 2.79, 1 Y 2.79